A geometry-optimized Th2GePd3 structure. Source: the Alexandria database, functional PBE-GGA.

abc: 9.1679 8.8120 5.7494
angles: 74.75 68.02 37.23
Closest atoms and distances in Å follow each position.
Fractional positions:
Th  0.2436  0.7564  0.7564  10 Pd 3.16-3.36, 2 Ge 3.23
Th  0.2500  0.2500  0.2500  8 Pd 3.10-3.22, 4 Ge 3.19
Th  0.7500  0.7500  0.7500  8 Pd 3.10-3.22, 4 Ge 3.19
Th  0.7564  0.2436  0.2436  10 Pd 3.16-3.36, 2 Ge 3.23
Ge  0.3362  0.3362  0.6638  3 Pd 2.51-2.54
Ge  0.6638  0.6638  0.3362  3 Pd 2.51-2.54
Pd  0.1722  0.6592  0.3408  1 Ge 2.51, 2 Pd 2.71-2.73
Pd  0.1779  0.1779  0.8221  1 Ge 2.54, 2 Pd 2.73
Pd  0.3408  0.8278  0.1722  1 Ge 2.51, 2 Pd 2.71-2.73
Pd  0.6592  0.1722  0.8278  1 Ge 2.51, 2 Pd 2.71-2.73
Pd  0.8221  0.8221  0.1779  1 Ge 2.54, 2 Pd 2.73
Pd  0.8278  0.3408  0.6592  1 Ge 2.51, 2 Pd 2.71-2.73

Final energy (eV/atom): -6.666
Energy of formation from the pure elements (kJ/mol of formula units): -479

A geometry-optimized TaSi2Br structure. Source: the Alexandria database, functional PBE-GGA.

abc: 2.8859 5.1300 9.9555
angles: 90.00 90.00 90.00
Closest atoms and distances in Å follow each position.
Fractional positions:
Ta  0.0000  0.0000  0.0000  2 Br 2.66, 6 Si 2.69-2.97, 2 Ta 2.89
Ta  0.5000  0.5000  0.5000  2 Br 2.66, 6 Si 2.69-2.97, 2 Ta 2.89
Si  0.0000  0.0000  0.5420  4 Si 2.71-2.89, 4 Ta 2.97
Si  0.0000  0.5000  0.2723  2 Ta 2.69, 4 Si 2.71-2.89, 4 Br 2.98
Si  0.5000  0.0000  0.7723  2 Ta 2.69, 4 Si 2.71-2.89, 4 Br 2.98
Si  0.5000  0.5000  0.0420  4 Si 2.71-2.89, 4 Ta 2.97
Br  0.0000  0.5000  0.7245  2 Ta 2.66, 2 Br 2.89
Br  0.5000  0.0000  0.2245  2 Ta 2.66, 2 Br 2.89

Final energy (eV/atom): -5.629
Polymorph energy (0 for the lowest one) (eV/f.u.): 1.78
E_form (uncorrected) (eV/atom): 0.46